Entry 1:
Crystalline PmNdHoCd at its relaxed geometry. Source: the Alexandria database, functional PBE.

Summary:
Fermi-level density of states = 1.02 states/eV per atom
total magnetization = 0.00 μB per formula unit
SG = No. 99
energy of formation from the pure elements = -150 meV/atom

abc: 3.6620 3.6620 9.0888
angles: 90.00 90.00 90.00
Last column: nearest neighbours and their distance in Å.
Sites, in units of the cell vectors:
1 Pm 0.0000 0.0000 0.0000  4 Cd 3.34, 4 Nd 3.65, 4 Pm 3.66
2 Nd 0.5000 0.5000 0.2824  4 Ho 3.58, 4 Pm 3.65, 4 Nd 3.66
3 Ho 0.0000 0.0000 0.5551  4 Cd 3.23, 4 Nd 3.58
4 Cd 0.5000 0.5000 0.7671  4 Ho 3.23, 4 Pm 3.34

Entry 2:
Crystalline La6SbS5 at its relaxed geometry. Source: the Alexandria database, functional PBE.

Summary:
Fermi-level density of states = 0.56 states/eV per atom
total magnetization = 0.00 μB per formula unit
SG = No. 12
E_form (uncorrected) = -1.99 eV per atom

abc: 7.3449 7.3449 7.3593
angles: 99.62 99.62 120.01
Last column: nearest neighbours and their distance in Å.
Sites, in units of the cell vectors:
1 La 0.0650 0.4129 0.7384  5 S 2.92-3.01, 1 Sb 3.13
2 La 0.2388 0.2388 0.2597  5 S 2.88-3.00, 1 Sb 3.13
3 La 0.4129 0.0650 0.7384  5 S 2.92-3.01, 1 Sb 3.13
4 La 0.5871 0.9350 0.2616  5 S 2.92-3.01, 1 Sb 3.13
5 La 0.7612 0.7612 0.7403  5 S 2.88-3.00, 1 Sb 3.13
6 La 0.9350 0.5871 0.2616  5 S 2.92-3.01, 1 Sb 3.13
7 Sb 0.5000 0.5000 0.0000  6 La 3.13
8 S 0.0000 0.0000 0.5000  6 La 2.88-3.00
9 S 0.1674 0.8326 0.0000  6 La 3.00-3.01
10 S 0.3395 0.6605 0.5000  6 La 2.92-3.01
11 S 0.6605 0.3395 0.5000  6 La 2.92-3.01
12 S 0.8326 0.1674 0.0000  6 La 3.00-3.01